Pu2UGe3 PBE relaxed; formation energy from the elements = -212 meV per atom; space-group type = No. 63
1.0
5.0644 0.0000 0.0000
0.0000 7.8558 -0.4328
0.0000 -2.9882 7.2782
Pu Ge U
4 6 2
Cartesian
3.7983 2.9299 1.1617
1.2661 4.7324 3.6965
3.7983 0.1353 3.1489
1.2661 1.9378 5.6837
0.0000 -0.8106 5.7297
0.0000 5.6782 1.1157
2.5322 5.6782 1.1157
2.5322 -0.8106 5.7297
3.7983 2.9723 4.1800
1.2661 1.8953 2.6654
3.7983 4.6083 6.4807
1.2661 0.2593 0.3647